# 1
Pr3Y12Sc | PBE-GGA | optimized geometry

size of the total moment	0.00	μB per cell
space group	P4/mmm (123)
ΔE_f	31	meV per atom
mass density	4.90	g cm⁻³

abc: 5.069 5.069 20.235
angles: 90.00 90.00 90.00
Fractional positions:
Pr (0.000, 0.000, 0.248)
Pr (0.000, 0.000, 0.500)
Pr (0.000, 0.000, 0.752)
Y (0.500, 0.500, 0.000)
Y (0.500, 0.500, 0.246)
Y (0.500, 0.500, 0.500)
Y (0.500, 0.500, 0.754)
Y (0.500, 0.000, 0.119)
Y (0.500, 0.000, 0.373)
Y (0.500, 0.000, 0.627)
Y (0.500, 0.000, 0.881)
Y (0.000, 0.500, 0.119)
Y (0.000, 0.500, 0.373)
Y (0.000, 0.500, 0.627)
Y (0.000, 0.500, 0.881)
Sc (0.000, 0.000, 0.000)

---

# 2
ScPtW2 | PBE-GGA | optimized geometry

size of the total moment	0.00	μB per cell
space group	P4/mmm (123)
ΔE_f	37	meV per atom
mass density	14.86	g cm⁻³

abc: 2.770 2.770 8.852
angles: 90.00 90.00 90.00
Fractional positions:
Pt (0.500, 0.500, 0.250)
Sc (0.500, 0.500, 0.750)
W (0.000, 0.000, 0.017)
W (0.000, 0.000, 0.483)

---

# 3
ThNpSe3 | PBE-GGA | optimized geometry

uncorrected formation energy	-1286	meV per atom
size of the total moment	8.83	μB per cell
space group	C2/m (12)
mass density	8.18	g cm⁻³

abc: 5.631 7.731 9.142
angles: 126.23 90.00 111.36
Fractional positions:
Th (0.097, 0.194, 0.847)
Th (0.903, 0.806, 0.153)
Np (0.355, 0.709, 0.604)
Np (0.645, 0.291, 0.396)
Se (0.864, 0.728, 0.787)
Se (0.136, 0.272, 0.213)
Se (0.621, 0.243, 0.870)
Se (0.379, 0.757, 0.130)
Se (0.864, 0.728, 0.440)
Se (0.136, 0.272, 0.560)

---

# 4
Sm2DyAl12Co3 | PBE-GGA | optimized geometry

size of the total moment	0.00	μB per cell
space group	R-3m (166)
ΔE_f	2	meV per atom
mass density	4.21	g cm⁻³

abc: 7.893 7.893 7.893
angles: 64.29 64.29 64.29
Fractional positions:
Sm (0.585, 0.585, 0.585)
Sm (0.415, 0.415, 0.415)
Dy (0.000, 0.000, 0.000)
Al (0.280, 0.280, 0.895)
Al (0.838, 0.838, 0.472)
Al (0.472, 0.838, 0.838)
Al (0.895, 0.280, 0.280)
Al (0.838, 0.472, 0.838)
Al (0.280, 0.895, 0.280)
Al (0.720, 0.720, 0.105)
Al (0.162, 0.162, 0.528)
Al (0.528, 0.162, 0.162)
Al (0.105, 0.720, 0.720)
Al (0.162, 0.528, 0.162)
Al (0.720, 0.105, 0.720)
Co (0.500, 0.000, 0.000)
Co (0.000, 0.500, 0.000)
Co (0.000, 0.000, 0.500)

---

# 5
Mg6WC | PBE-GGA | optimized geometry

size of the total moment	0.00	μB per cell
space group	Amm2 (38)
ΔE_f	279	meV per atom
mass density	3.56	g cm⁻³

abc: 7.597 7.597 3.047
angles: 90.00 90.00 115.07
Fractional positions:
Mg (0.175, 0.467, 0.000)
Mg (0.533, 0.825, 0.000)
Mg (0.744, 0.256, 0.000)
Mg (0.380, 0.211, 0.500)
Mg (0.789, 0.620, 0.500)
Mg (0.953, 0.047, 0.500)
W (0.161, 0.839, 0.000)
C (0.263, 0.737, 0.500)

---

# 6
La3Dy3Hg2 | PBE-GGA | optimized geometry

size of the total moment	0.00	μB per cell
space group	Cmcm (63)
ΔE_f	-188	meV per atom
mass density	8.51	g cm⁻³

abc: 5.254 6.542 16.177
angles: 90.00 90.00 113.68
Fractional positions:
La (0.961, 0.921, 0.391)
La (0.039, 0.079, 0.891)
La (0.961, 0.921, 0.109)
La (0.039, 0.079, 0.609)
La (0.710, 0.420, 0.250)
La (0.290, 0.580, 0.750)
Dy (0.641, 0.282, 0.465)
Dy (0.359, 0.718, 0.965)
Dy (0.641, 0.282, 0.035)
Dy (0.359, 0.718, 0.535)
Dy (0.426, 0.852, 0.250)
Dy (0.574, 0.148, 0.750)
Hg (0.766, 0.531, 0.877)
Hg (0.234, 0.469, 0.377)
Hg (0.766, 0.531, 0.623)
Hg (0.234, 0.469, 0.123)

---

# 7
CaAcIn | PBE-GGA | optimized geometry

size of the total moment	0.00	μB per cell
space group	P6_3/mmc (194)
ΔE_f	-379	meV per atom
mass density	6.04	g cm⁻³

abc: 5.788 5.788 7.235
angles: 90.00 90.00 120.01
Fractional positions:
Ca (0.000, 0.500, 0.000)
Ca (0.000, 0.500, 0.500)
Ac (0.333, 0.167, 0.750)
Ac (0.667, 0.833, 0.250)
In (0.667, 0.833, 0.750)
In (0.333, 0.167, 0.250)

---

# 8
Tl2HgAu | PBE-GGA | optimized geometry

size of the total moment	0.00	μB per cell
space group	Immm (71)
ΔE_f	17	meV per atom
mass density	12.45	g cm⁻³

abc: 4.450 5.278 5.735
angles: 117.40 112.83 90.00
Fractional positions:
Au (0.000, 0.500, 0.000)
Hg (0.500, 0.000, 0.000)
Tl (0.730, 0.730, 0.460)
Tl (0.270, 0.270, 0.540)

---

# 9
Na4Hg2Br | PBE-GGA | optimized geometry

uncorrected formation energy	-402	meV per atom
size of the total moment	0.00	μB per cell
space group	I4/mmm (139)
mass density	3.91	g cm⁻³

abc: 5.625 5.625 8.667
angles: 71.06 71.06 90.00
Fractional positions:
Na (0.806, 0.806, 0.387)
Na (0.194, 0.194, 0.613)
Na (0.000, 0.500, 0.000)
Na (0.500, 0.000, 0.000)
Hg (0.609, 0.609, 0.782)
Hg (0.391, 0.391, 0.218)
Br (0.000, 0.000, 0.000)

---

# 10
Tl4ZnFe | PBE-GGA | optimized geometry

size of the total moment	3.10	μB per cell
space group	F-43m (216)
ΔE_f	750	meV per atom
mass density	8.84	g cm⁻³

abc: 6.293 6.293 6.293
angles: 60.00 60.00 60.00
Fractional positions:
Tl (0.875, 0.375, 0.375)
Tl (0.375, 0.375, 0.875)
Tl (0.375, 0.875, 0.375)
Tl (0.375, 0.375, 0.375)
Zn (0.750, 0.750, 0.750)
Fe (0.000, 0.000, 0.000)

---

# 11
LiInCoSn | PBE-GGA | optimized geometry

size of the total moment	0.00	μB per cell
space group	F-43m (216)
ΔE_f	-110	meV per atom
mass density	7.58	g cm⁻³

abc: 4.528 4.528 4.528
angles: 60.00 60.00 60.00
Fractional positions:
Li (0.250, 0.250, 0.250)
Co (0.750, 0.750, 0.750)
Sn (0.000, 0.000, 0.000)
In (0.500, 0.500, 0.500)

---

# 12
BePb2I | PBE-GGA | optimized geometry

uncorrected formation energy	332	meV per atom
size of the total moment	0.00	μB per cell
space group	I-42d (122)
mass density	6.60	g cm⁻³

abc: 6.518 6.518 7.981
angles: 65.90 65.90 90.00
Fractional positions:
Pb (0.499, 0.125, 0.250)
Pb (0.251, 0.625, 0.250)
Pb (0.375, 0.501, 0.750)
Pb (0.875, 0.749, 0.750)
I (0.000, 0.000, 0.000)
I (0.750, 0.250, 0.500)
Be (0.500, 0.500, 0.000)
Be (0.250, 0.750, 0.500)

---

# 13
La2AlNi | PBE-GGA | optimized geometry

size of the total moment	0.00	μB per cell
space group	I-4m2 (119)
ΔE_f	-122	meV per atom
mass density	6.27	g cm⁻³

abc: 5.903 5.903 5.903
angles: 136.49 136.49 63.23
Fractional positions:
Ni (0.500, 0.500, 0.000)
Al (0.750, 0.250, 0.500)
La (0.000, 0.000, 0.000)
La (0.250, 0.750, 0.500)

---

# 14
NdCuTeS | PBE-GGA | optimized geometry

uncorrected formation energy	-1130	meV per atom
size of the total moment	0.00	μB per cell
space group	R-3m (166)
mass density	6.02	g cm⁻³

abc: 4.533 4.533 11.695
angles: 78.82 78.82 60.00
Fractional positions:
Nd (0.111, 0.111, 0.666)
Nd (0.889, 0.889, 0.334)
Cu (0.700, 0.700, 0.899)
Cu (0.300, 0.300, 0.101)
Te (0.619, 0.619, 0.144)
Te (0.381, 0.381, 0.856)
S (0.803, 0.803, 0.590)
S (0.197, 0.197, 0.410)

---

# 15
SrSiP2 | PBE-GGA | optimized geometry

uncorrected formation energy	-270	meV per atom
size of the total moment	0.00	μB per cell
space group	C2/m (12)
mass density	3.55	g cm⁻³

abc: 4.673 4.673 5.483
angles: 69.95 69.95 48.49
Fractional positions:
P (0.039, 0.039, 0.860)
P (0.461, 0.461, 0.640)
Si (0.750, 0.750, 0.750)
Sr (0.250, 0.250, 0.250)

---

# 16
Cu2RuBr | PBE-GGA | optimized geometry

uncorrected formation energy	565	meV per atom
size of the total moment	0.15	μB per cell
space group	R3m (160)
mass density	8.23	g cm⁻³

abc: 8.365 8.365 8.365
angles: 20.38 20.38 20.38
Fractional positions:
Br (0.756, 0.756, 0.756)
Cu (0.991, 0.991, 0.991)
Cu (0.250, 0.250, 0.250)
Ru (0.503, 0.503, 0.503)

---

# 17
FeCuNiGe2 | PBE-GGA | optimized geometry

size of the total moment	3.23	μB per cell
space group	P4/mmm (123)
ΔE_f	612	meV per atom
mass density	6.05	g cm⁻³

abc: 4.392 4.598 4.392
angles: 90.00 90.00 90.00
Fractional positions:
Ni (0.000, 0.000, 0.000)
Ge (0.000, 0.000, 0.500)
Ge (0.500, 0.000, 0.000)
Fe (0.000, 0.500, 0.000)
Cu (0.500, 0.500, 0.500)

---

# 18
Li3Cd2Ge | PBE-GGA | optimized geometry

size of the total moment	0.00	μB per cell
space group	Cmmm (65)
ΔE_f	-253	meV per atom
mass density	5.04	g cm⁻³

abc: 4.452 7.049 7.049
angles: 90.00 90.00 71.59
Fractional positions:
Li (0.826, 0.348, 0.773)
Li (0.500, 0.000, 0.241)
Li (0.174, 0.652, 0.227)
Li (0.826, 0.348, 0.227)
Li (0.174, 0.652, 0.773)
Li (0.500, 0.000, 0.759)
Cd (0.000, 0.000, 0.000)
Cd (0.000, 0.000, 0.500)
Cd (0.335, 0.330, 0.500)
Cd (0.665, 0.670, 0.500)
Ge (0.340, 0.320, 0.000)
Ge (0.660, 0.680, 0.000)